[1]
# ScZnCd4

An optimized crystal structure of ScZnCd4 (PBE, Alexandria via LeMat-Bulk).

Calculated values
**SG**: C2/m, No. 12
**Uncorrected energy**: -1.907 eV per atom
**DFT formation energy**: -0.03 eV/atom

Lattice parameters (Å, degrees): 5.052 7.055 8.552 114.36 107.04 90.00
Element x y z (fractional)
1 Sc 0.197 0.196 0.392
2 Sc 0.803 0.804 0.608
3 Cd 0.000 0.184 0.000
4 Cd 0.822 0.319 0.639
5 Cd 0.365 0.636 0.733
6 Cd 0.365 0.097 0.733
7 Cd 0.178 0.681 0.361
8 Cd 0.635 0.364 0.267
9 Cd 0.635 0.903 0.267
10 Cd 0.000 0.816 0.000
11 Zn 0.268 0.503 0.005
12 Zn 0.732 0.497 0.995

---

[2]
# ScZnCd

An optimized crystal structure of ScZnCd (PBE, Alexandria via LeMat-Bulk).

Calculated values
**SG**: P4/nmm, No. 129
**Uncorrected energy**: -2.985 eV per atom
**DFT formation energy**: -0.15 eV/atom

Lattice parameters (Å, degrees): 4.258 4.258 6.859 90.00 90.00 90.00
Element x y z (fractional)
1 Zn 0.000 0.000 0.500
2 Zn 0.500 0.500 0.500
3 Cd 0.500 0.000 0.245
4 Cd 0.000 0.500 0.755
5 Sc 0.000 0.500 0.187
6 Sc 0.500 0.000 0.813

---

[3]
# ScZnCd2

An optimized crystal structure of ScZnCd2 (PBE, Alexandria via LeMat-Bulk).

Calculated values
**SG**: P4/mmm, No. 123
**Uncorrected energy**: -2.553 eV per atom
**DFT formation energy**: -0.19 eV/atom

Lattice parameters (Å, degrees): 4.238 4.233 4.540 90.00 90.00 90.00
Element x y z (fractional)
1 Cd 0.500 0.500 0.000
2 Cd 0.000 0.000 0.000
3 Sc 0.500 0.000 0.500
4 Zn 0.000 0.500 0.500